[1]
Compound: CeNdPb
Source: Alexandria
Functional: GGA-PBE
Structure: relaxed

Unit cell a=3.525 b=5.831 c=18.794 alpha=90.00 beta=90.00 gamma=90.00
Fractional coordinates of all 12 atoms:
Ce: 0.000 0.232 0.000
Ce: 0.000 0.768 0.000
Ce: 0.500 0.268 0.500
Ce: 0.500 0.732 0.500
Nd: 0.000 0.500 0.330
Nd: 0.000 0.500 0.670
Nd: 0.500 0.000 0.170
Nd: 0.500 0.000 0.830
Pb: 0.000 0.500 0.155
Pb: 0.000 0.500 0.845
Pb: 0.500 0.000 0.345
Pb: 0.500 0.000 0.655

Output
ρ   8.5 g/cm3
Polymorph energy (0 for the lowest one)   0.255 eV per atom
V   96.6 Å³/f.u.

---

[2]
Compound: Hf3GaRh
Source: Alexandria
Functional: GGA-PBE
Structure: relaxed

Unit cell a=4.951 b=4.951 c=4.951 alpha=90.00 beta=90.00 gamma=90.00
Fractional coordinates of all 5 atoms:
Hf: 0.000 0.000 0.500
Hf: 0.000 0.500 0.000
Hf: 0.500 0.000 0.000
Ga: 0.500 0.500 0.500
Rh: 0.000 0.000 0.000

Output
ρ   9.7 g/cm3
Polymorph energy (0 for the lowest one)   0.000 eV per atom
V   121.4 Å³/f.u.

---

[3]
Compound: CaHg2Cl
Source: Alexandria
Functional: GGA-PBE
Structure: relaxed

Unit cell a=7.515 b=7.515 c=7.515 alpha=90.00 beta=90.00 gamma=90.00
Fractional coordinates of all 16 atoms:
Ca: 0.000 0.000 0.000
Ca: 0.000 0.500 0.500
Ca: 0.500 0.000 0.500
Ca: 0.500 0.500 0.000
Hg: 0.000 0.000 0.500
Hg: 0.000 0.500 0.000
Hg: 0.250 0.250 0.250
Hg: 0.250 0.750 0.750
Hg: 0.500 0.000 0.000
Hg: 0.500 0.500 0.500
Hg: 0.750 0.250 0.750
Hg: 0.750 0.750 0.250
Cl: 0.250 0.250 0.750
Cl: 0.250 0.750 0.250
Cl: 0.750 0.250 0.250
Cl: 0.750 0.750 0.750

Output
Formation energy (no corrections)   -0.676 eV per atom
ρ   7.5 g/cm3
Polymorph energy (0 for the lowest one)   0.193 eV per atom
V   106.1 Å³/f.u.

---

[4]
Compound: B2Mo4W
Source: Alexandria
Functional: GGA-PBE
Structure: relaxed

Unit cell a=6.897 b=6.897 c=6.897 alpha=35.53 beta=35.53 gamma=35.53
Fractional coordinates of all 7 atoms:
B: 0.112 0.112 0.112
B: 0.888 0.888 0.888
Mo: 0.223 0.223 0.223
Mo: 0.387 0.387 0.387
Mo: 0.613 0.613 0.613
Mo: 0.777 0.777 0.777
W: 0.000 0.000 0.000

Output
ρ   9.9 g/cm3
E   -9.649 eV per atom
V   99.0 Å³/f.u.

---

[5]
Compound: La2Tb6Sm3Pb
Source: Alexandria
Functional: GGA-PBE
Structure: relaxed

Unit cell a=6.182 b=6.182 c=11.883 alpha=95.00 beta=95.00 gamma=120.00
Fractional coordinates of all 12 atoms:
La: 0.166 0.834 0.000
La: 0.834 0.166 0.000
Tb: 0.091 0.417 0.750
Tb: 0.258 0.258 0.251
Tb: 0.417 0.091 0.750
Tb: 0.583 0.909 0.250
Tb: 0.742 0.742 0.749
Tb: 0.909 0.583 0.250
Sm: 0.000 0.000 0.500
Sm: 0.332 0.668 0.500
Sm: 0.668 0.332 0.500
Pb: 0.500 0.500 0.000

Output
ρ   8.1 g/cm3
E   -4.705 eV per atom
V   387.3 Å³/f.u.

---

[6]
Compound: Ni3Br5
Source: Alexandria
Functional: GGA-PBE
Structure: relaxed

Unit cell a=7.215 b=7.215 c=8.371 alpha=90.00 beta=90.00 gamma=120.00
Fractional coordinates of all 16 atoms:
Ni: 0.000 0.405 0.250
Ni: 0.000 0.595 0.750
Ni: 0.405 0.000 0.250
Ni: 0.405 0.405 0.750
Ni: 0.595 0.000 0.750
Ni: 0.595 0.595 0.250
Br: 0.000 0.266 0.750
Br: 0.000 0.734 0.250
Br: 0.266 0.000 0.750
Br: 0.266 0.266 0.250
Br: 0.333 0.667 0.000
Br: 0.333 0.667 0.500
Br: 0.667 0.333 0.000
Br: 0.667 0.333 0.500
Br: 0.734 0.000 0.250
Br: 0.734 0.734 0.750

Output
Formation energy (no corrections)   0.165 eV per atom
ρ   5.1 g/cm3
Polymorph energy (0 for the lowest one)   0.000 eV per atom
V   188.7 Å³/f.u.

---

[7]
Compound: ThCo2Sn4
Source: Alexandria
Functional: GGA-PBE
Structure: relaxed

Unit cell a=18.361 b=4.449 c=7.085 alpha=90.00 beta=90.00 gamma=90.00
Fractional coordinates of all 28 atoms:
Th: 0.139 0.250 0.001
Th: 0.361 0.750 0.501
Th: 0.639 0.250 0.499
Th: 0.861 0.750 0.999
Co: 0.034 0.750 0.757
Co: 0.214 0.250 0.478
Co: 0.286 0.750 0.978
Co: 0.466 0.250 0.257
Co: 0.534 0.750 0.743
Co: 0.714 0.250 0.022
Co: 0.786 0.750 0.522
Co: 0.966 0.250 0.243
Sn: 0.029 0.750 0.143
Sn: 0.069 0.250 0.506
Sn: 0.180 0.750 0.693
Sn: 0.200 0.750 0.279
Sn: 0.300 0.250 0.779
Sn: 0.320 0.250 0.193
Sn: 0.431 0.750 0.006
Sn: 0.471 0.250 0.643
Sn: 0.529 0.750 0.357
Sn: 0.569 0.250 0.994
Sn: 0.680 0.750 0.807
Sn: 0.700 0.750 0.221
Sn: 0.800 0.250 0.721
Sn: 0.820 0.250 0.307
Sn: 0.931 0.750 0.494
Sn: 0.971 0.250 0.857

Output
ρ   9.5 g/cm3
E   -5.630 eV per atom
V   144.7 Å³/f.u.

---

[8]
Compound: Ge2SbS6
Source: Alexandria
Functional: GGA-PBE
Structure: relaxed

Unit cell a=8.379 b=8.379 c=6.340 alpha=99.34 beta=99.34 gamma=85.50
Fractional coordinates of all 18 atoms:
Ge: 0.117 0.277 0.313
Ge: 0.277 0.117 0.813
Ge: 0.723 0.883 0.187
Ge: 0.883 0.723 0.687
Sb: 0.372 0.628 0.750
Sb: 0.628 0.372 0.250
S: 0.050 0.216 0.618
S: 0.107 0.635 0.891
S: 0.216 0.050 0.118
S: 0.296 0.472 0.348
S: 0.365 0.893 0.609
S: 0.472 0.296 0.848
S: 0.528 0.704 0.152
S: 0.635 0.107 0.391
S: 0.704 0.528 0.652
S: 0.784 0.950 0.882
S: 0.893 0.365 0.109
S: 0.950 0.784 0.382

Output
Formation energy (no corrections)   -0.147 eV per atom
ρ   3.5 g/cm3
V   216.4 Å³/f.u.

---

[9]
Compound: CsBaNa2Cd
Source: Alexandria
Functional: GGA-PBE
Structure: relaxed

Unit cell a=6.405 b=6.405 c=6.609 alpha=90.00 beta=90.00 gamma=90.00
Fractional coordinates of all 5 atoms:
Cs: 0.000 0.000 0.000
Ba: 0.500 0.500 0.000
Na: 0.000 0.500 0.500
Na: 0.500 0.000 0.500
Cd: 0.500 0.500 0.500

Output
ρ   2.6 g/cm3
E   -1.229 eV per atom
V   271.2 Å³/f.u.

---

[10]
Compound: Tb3Pm7Nd
Source: Alexandria
Functional: GGA-PBE
Structure: relaxed

Unit cell a=7.209 b=7.209 c=8.702 alpha=90.00 beta=90.00 gamma=120.00
Fractional coordinates of all 11 atoms:
Tb: 0.000 0.500 0.000
Tb: 0.500 0.000 0.000
Tb: 0.500 0.500 0.000
Pm: 0.167 0.334 0.328
Pm: 0.167 0.833 0.328
Pm: 0.335 0.167 0.672
Pm: 0.666 0.833 0.328
Pm: 0.667 0.333 0.340
Pm: 0.833 0.167 0.672
Pm: 0.833 0.665 0.672
Nd: 0.333 0.667 0.659

Output
ρ   6.9 g/cm3
Polymorph energy (0 for the lowest one)   0.000 eV per atom
V   391.7 Å³/f.u.

---

[11]
Compound: YZnP2S
Source: Alexandria
Functional: GGA-PBE
Structure: relaxed

Unit cell a=4.590 b=4.590 c=4.814 alpha=90.00 beta=90.00 gamma=90.00
Fractional coordinates of all 5 atoms:
Y: 0.000 0.000 0.000
Zn: 0.500 0.500 0.500
P: 0.000 0.500 0.500
P: 0.500 0.000 0.500
S: 0.500 0.500 0.000

Output
Formation energy (no corrections)   -0.058 eV per atom
ρ   4.1 g/cm3
Polymorph energy (0 for the lowest one)   0.000 eV per atom
V   101.5 Å³/f.u.

---

[12]
Compound: ScRu2I2
Source: Alexandria
Functional: GGA-PBE
Structure: relaxed

Unit cell a=7.751 b=7.751 c=3.360 alpha=90.00 beta=90.00 gamma=90.00
Fractional coordinates of all 10 atoms:
Sc: 0.000 0.000 0.000
Sc: 0.500 0.500 0.000
Ru: 0.150 0.350 0.500
Ru: 0.350 0.850 0.500
Ru: 0.650 0.150 0.500
Ru: 0.850 0.650 0.500
I: 0.160 0.660 0.000
I: 0.340 0.160 0.000
I: 0.660 0.840 0.000
I: 0.840 0.340 0.000

Output
Formation energy (no corrections)   0.586 eV per atom
ρ   8.2 g/cm3
Polymorph energy (0 for the lowest one)   0.012 eV per atom
V   100.9 Å³/f.u.

---

[13]
Compound: MgOsSeN2
Source: Alexandria
Functional: GGA-PBE
Structure: relaxed

Unit cell a=3.841 b=3.841 c=4.969 alpha=90.00 beta=90.00 gamma=90.00
Fractional coordinates of all 5 atoms:
Mg: 0.000 0.000 0.000
Os: 0.500 0.500 0.500
Se: 0.000 0.000 0.500
N: 0.000 0.500 0.000
N: 0.500 0.000 0.000

Output
Formation energy (no corrections)   1.992 eV per atom
ρ   7.3 g/cm3
Polymorph energy (0 for the lowest one)   1.794 eV per atom
V   73.3 Å³/f.u.

---

[14]
Compound: Nb2CuCl
Source: Alexandria
Functional: GGA-PBE
Structure: relaxed

Unit cell a=3.974 b=3.974 c=18.142 alpha=90.00 beta=90.00 gamma=90.00
Fractional coordinates of all 16 atoms:
Nb: 0.246 0.250 0.125
Nb: 0.250 0.746 0.375
Nb: 0.250 0.754 0.875
Nb: 0.254 0.250 0.625
Nb: 0.746 0.750 0.625
Nb: 0.750 0.246 0.875
Nb: 0.750 0.254 0.375
Nb: 0.754 0.750 0.125
Cu: 0.000 0.000 0.000
Cu: 0.000 0.500 0.250
Cu: 0.500 0.000 0.750
Cu: 0.500 0.500 0.500
Cl: 0.000 0.000 0.500
Cl: 0.000 0.500 0.750
Cl: 0.500 0.000 0.250
Cl: 0.500 0.500 0.000

Output
Formation energy (no corrections)   0.524 eV per atom
ρ   6.6 g/cm3
Polymorph energy (0 for the lowest one)   0.143 eV per atom
V   71.6 Å³/f.u.

---

[15]
Compound: Ac3Au2
Source: Alexandria
Functional: GGA-PBE
Structure: relaxed

Unit cell a=8.397 b=8.397 c=8.397 alpha=54.74 beta=54.74 gamma=54.74
Fractional coordinates of all 10 atoms:
Ac: 0.126 0.750 0.374
Ac: 0.250 0.626 0.874
Ac: 0.374 0.126 0.750
Ac: 0.626 0.874 0.250
Ac: 0.750 0.374 0.126
Ac: 0.874 0.250 0.626
Au: 0.181 0.181 0.181
Au: 0.319 0.319 0.319
Au: 0.681 0.681 0.681
Au: 0.819 0.819 0.819

Output
ρ   9.7 g/cm3
Polymorph energy (0 for the lowest one)   0.068 eV per atom
V   183.7 Å³/f.u.

---

[16]
Compound: Ba2HgSbPt
Source: Alexandria
Functional: GGA-PBE
Structure: relaxed

Unit cell a=6.230 b=6.230 c=5.093 alpha=90.00 beta=90.00 gamma=90.00
Fractional coordinates of all 5 atoms:
Ba: 0.000 0.500 0.000
Ba: 0.500 0.000 0.000
Hg: 0.000 0.000 0.500
Sb: 0.500 0.500 0.500
Pt: 0.500 0.500 0.000

Output
Formation energy (no corrections)   -0.617 eV per atom
ρ   6.7 g/cm3
V   197.7 Å³/f.u.

---

[17]
Compound: KRhN2
Source: Alexandria
Functional: GGA-PBE
Structure: relaxed

Unit cell a=3.313 b=3.313 c=19.684 alpha=90.00 beta=90.00 gamma=120.00
Fractional coordinates of all 12 atoms:
K: 0.000 0.000 0.000
K: 0.333 0.667 0.667
K: 0.667 0.333 0.333
Rh: 0.000 0.000 0.500
Rh: 0.333 0.667 0.167
Rh: 0.667 0.333 0.833
N: 0.000 0.000 0.126
N: 0.000 0.000 0.874
N: 0.333 0.667 0.541
N: 0.333 0.667 0.792
N: 0.667 0.333 0.208
N: 0.667 0.333 0.459

Output
Formation energy (no corrections)   0.839 eV per atom
ρ   4.5 g/cm3
Polymorph energy (0 for the lowest one)   0.443 eV per atom
V   62.4 Å³/f.u.

---

[18]
Compound: Ac4InIrBr2
Source: Alexandria
Functional: GGA-PBE
Structure: relaxed

Unit cell a=8.299 b=4.427 c=8.605 alpha=90.00 beta=109.36 gamma=90.00
Fractional coordinates of all 8 atoms:
Ac: 0.214 0.000 0.290
Ac: 0.223 0.500 0.701
Ac: 0.777 0.500 0.299
Ac: 0.786 0.000 0.710
In: 0.500 0.500 0.500
Ir: 0.000 0.000 0.500
Br: 0.000 0.500 0.000
Br: 0.500 0.000 0.000

Output
Formation energy (no corrections)   -0.956 eV per atom
ρ   7.7 g/cm3
V   298.3 Å³/f.u.

---

[19]
Compound: CeTiH3
Source: Alexandria
Functional: GGA-PBE
Structure: relaxed

Unit cell a=3.812 b=3.812 c=3.812 alpha=90.00 beta=90.00 gamma=90.00
Fractional coordinates of all 5 atoms:
Ce: 0.000 0.000 0.000
Ti: 0.500 0.500 0.500
H: 0.000 0.500 0.500
H: 0.500 0.000 0.500
H: 0.500 0.500 0.000

Output
ρ   5.7 g/cm3
Polymorph energy (0 for the lowest one)   0.000 eV per atom
V   55.4 Å³/f.u.

---

[20]
Compound: Rb2ZrSnCl6
Source: Alexandria
Functional: GGA-PBE
Structure: relaxed

Unit cell a=8.118 b=8.118 c=8.118 alpha=124.10 beta=124.10 gamma=83.03
Fractional coordinates of all 10 atoms:
Rb: 0.250 0.750 0.500
Rb: 0.750 0.250 0.500
Zr: 0.000 0.000 0.000
Sn: 0.500 0.500 0.000
Cl: 0.209 0.209 0.000
Cl: 0.238 0.238 0.475
Cl: 0.238 0.762 0.000
Cl: 0.762 0.238 0.000
Cl: 0.762 0.762 0.525
Cl: 0.791 0.791 0.000

Output
Formation energy (no corrections)   -1.444 eV per atom
ρ   2.8 g/cm3
V   352.0 Å³/f.u.

---

[21]
Compound: TaZn3Au
Source: Alexandria
Functional: GGA-PBE
Structure: relaxed

Unit cell a=5.026 b=5.026 c=5.026 alpha=90.00 beta=90.00 gamma=90.00
Fractional coordinates of all 5 atoms:
Ta: 0.000 0.000 0.000
Zn: 0.000 0.000 0.500
Zn: 0.000 0.500 0.000
Zn: 0.500 0.000 0.000
Au: 0.500 0.500 0.500

Output
ρ   7.5 g/cm3
Polymorph energy (0 for the lowest one)   0.287 eV per atom
V   127.0 Å³/f.u.

---

[22]
Compound: LaSm2Th3P6
Source: Alexandria
Functional: GGA-PBE
Structure: relaxed

Unit cell a=7.198 b=7.198 c=7.178 alpha=99.64 beta=99.64 gamma=119.93
Fractional coordinates of all 12 atoms:
La: 0.000 0.000 0.000
Sm: 0.333 0.667 0.000
Sm: 0.667 0.333 0.000
Th: 0.166 0.834 0.500
Th: 0.500 0.500 0.500
Th: 0.834 0.166 0.500
P: 0.085 0.422 0.254
P: 0.253 0.253 0.747
P: 0.422 0.085 0.254
P: 0.578 0.915 0.746
P: 0.747 0.747 0.253
P: 0.915 0.578 0.746

Output
ρ   7.2 g/cm3
E   -7.335 eV per atom
V   303.7 Å³/f.u.

---

[23]
Compound: Bi2Ir2Pb
Source: Alexandria
Functional: GGA-PBE
Structure: relaxed

Unit cell a=4.615 b=4.615 c=11.640 alpha=90.00 beta=90.00 gamma=90.00
Fractional coordinates of all 10 atoms:
Bi: 0.000 0.500 0.250
Bi: 0.000 0.500 0.750
Bi: 0.500 0.000 0.250
Bi: 0.500 0.000 0.750
Ir: 0.000 0.000 0.106
Ir: 0.000 0.000 0.894
Ir: 0.500 0.500 0.394
Ir: 0.500 0.500 0.606
Pb: 0.000 0.000 0.500
Pb: 0.500 0.500 0.000

Output
ρ   13.5 g/cm3
Polymorph energy (0 for the lowest one)   0.052 eV per atom
V   124.0 Å³/f.u.

---

[24]
Compound: CePmCdRh
Source: Alexandria
Functional: GGA-PBE
Structure: relaxed

Unit cell a=7.321 b=7.321 c=7.321 alpha=90.00 beta=90.00 gamma=90.00
Fractional coordinates of all 16 atoms:
Ce: 0.000 0.000 0.000
Ce: 0.000 0.500 0.500
Ce: 0.500 0.000 0.500
Ce: 0.500 0.500 0.000
Pm: 0.000 0.000 0.500
Pm: 0.000 0.500 0.000
Pm: 0.500 0.000 0.000
Pm: 0.500 0.500 0.500
Cd: 0.250 0.250 0.250
Cd: 0.250 0.750 0.750
Cd: 0.750 0.250 0.750
Cd: 0.750 0.750 0.250
Rh: 0.250 0.250 0.750
Rh: 0.250 0.750 0.250
Rh: 0.750 0.250 0.250
Rh: 0.750 0.750 0.750

Output
ρ   8.5 g/cm3
E   -5.094 eV per atom
V   98.1 Å³/f.u.